First-principles (PBE) data for a geometry-optimized CuMoAu2 structure, as listed in OQMD via LeMat-Bulk.

Crystal system: cubic
Electronic total energy in eV per atom: -4.88

The structure in CIF format:
```
data_CuMoAu2
_chemical_formula_sum 'Cu1 Mo1 Au2'
_cell_length_a 4.493
_cell_length_b 4.493
_cell_length_c 4.493
_cell_angle_alpha 60.00
_cell_angle_beta 60.00
_cell_angle_gamma 60.00
_symmetry_space_group_name_H-M 'P 1'
_symmetry_Int_Tables_number 1
loop_
_symmetry_equiv_pos_as_xyz
'x,y,z'
loop_
_atom_site_label
_atom_site_type_symbol
_atom_site_fract_x
_atom_site_fract_y
_atom_site_fract_z
Au1 Au 0.000 0.000 0.000
Au2 Au 0.750 0.750 0.750
Cu1 Cu 0.250 0.250 0.250
Mo1 Mo 0.500 0.500 0.500
```

***

First-principles (PBE) data for a geometry-optimized ScReB structure, as listed in OQMD via LeMat-Bulk.

Energy relative to the lowest polymorph listed for this composition in meV/atom: 0
Crystal system: orthorhombic

The structure in CIF format:
```
data_ScReB
_chemical_formula_sum 'Sc4 Re4 B4'
_cell_length_a 6.567
_cell_length_b 3.232
_cell_length_c 7.589
_cell_angle_alpha 90.00
_cell_angle_beta 90.00
_cell_angle_gamma 90.00
_symmetry_space_group_name_H-M 'P 1'
_symmetry_Int_Tables_number 1
loop_
_symmetry_equiv_pos_as_xyz
'x,y,z'
loop_
_atom_site_label
_atom_site_type_symbol
_atom_site_fract_x
_atom_site_fract_y
_atom_site_fract_z
B1 B 0.221 0.250 0.136
B2 B 0.721 0.250 0.364
B3 B 0.279 0.750 0.636
B4 B 0.779 0.750 0.864
Re1 Re 0.857 0.250 0.057
Re2 Re 0.357 0.250 0.443
Re3 Re 0.643 0.750 0.557
Re4 Re 0.143 0.750 0.943
Sc1 Sc 0.522 0.750 0.169
Sc2 Sc 0.022 0.750 0.331
Sc3 Sc 0.978 0.250 0.669
Sc4 Sc 0.478 0.250 0.831
```